## RbCrSiO4 (PBE with a Hubbard U)

Data for crystalline RbCrSiO4 at its relaxed geometry.

The structure in POSCAR format:
```
RbCrSiO4
1.0
5.0464 0.0000 -0.7029
0.0000 5.6031 0.0000
-2.9096 0.0000 7.7321
O Cr Si Rb
8 2 2 2
Direct
0.0228 0.4700 0.6645
0.9772 0.9700 0.3355
0.6438 0.2500 0.7884
0.3562 0.7500 0.2116
0.4892 0.2500 0.4485
0.0228 0.0300 0.6645
0.9772 0.5300 0.3355
0.5108 0.7500 0.5515
0.2117 0.2500 0.5463
0.7883 0.7500 0.4537
0.7916 0.2500 0.6515
0.2084 0.7500 0.3485
0.6010 0.7500 0.9023
0.3990 0.2500 0.0977
```

Summary:
Its magnetization is 3.000 μB/f.u. Its total energy is -97.146 eV for the cell shown. Its symmetry is P2_1/m (11).